# 1
The following is a PBE calculation of a geometry-optimized FeRu2Rh6 structure, from Alexandria via LeMat-Bulk.

extended XYZ file:
```
9
Lattice="-3.523 -1.072 2.809 0.703 -0.244 4.662 -1.183 6.424 2.905" Properties=species:S:1:pos:R:3 pbc="T T T"
Fe -0.591 3.212 1.452
Ru -2.175 4.672 7.715
Ru -1.828 0.436 2.661
Rh -3.826 4.380 5.537
Rh -1.184 5.027 5.216
Rh -1.599 2.762 3.885
Rh -2.403 2.346 6.491
Rh -0.176 0.728 4.839
Rh -2.818 0.081 5.160
```

Values from the calculation:
Uncorrected energy in eV/cell: -69.539
Spin magnetization in μB per formula unit: 2.29
Energy of formation in eV/atom: 0.176
ρ in g/cm³: 11.4

=====

# 2
The following is a PBE calculation of a geometry-optimized SrCdPt structure, from Alexandria via LeMat-Bulk.

extended XYZ file:
```
6
Lattice="5.033 0.001 0.002 -0.001 6.011 0.328 -0.002 -1.609 5.210" Properties=species:S:1:pos:R:3 pbc="T T T"
Cd 1.268 5.641 1.102
Cd 3.785 -1.196 4.458
Sr 1.268 1.139 3.787
Sr 3.785 3.305 1.773
Pt 1.267 4.167 3.514
Pt 3.785 0.278 2.046
```

Values from the calculation:
Uncorrected energy in eV/cell: -20.685
Spin magnetization in μB per formula unit: 0.00
Energy of formation in eV/atom: -0.568
ρ in g/cm³: 8.2

=====

# 3
The following is a PBE calculation of a geometry-optimized Si2Ni6B structure, from Alexandria via LeMat-Bulk.

extended XYZ file:
```
9
Lattice="-0.710 -6.091 -0.165 2.363 2.679 4.987 -2.619 0.275 1.093" Properties=species:S:1:pos:R:3 pbc="T T T"
Ni 0.579 0.656 1.221
Ni -0.666 -1.191 2.424
Ni -0.174 -1.492 -0.040
Ni 1.249 -2.577 3.641
Ni 0.134 1.774 3.592
Ni -1.743 -3.582 0.446
Si 0.315 -3.168 1.553
Si 1.339 -0.244 3.270
B -1.309 0.138 0.546
```

Values from the calculation:
Uncorrected energy in eV/cell: -56.507
Formation energy from raw total energies in kcal/mol of atoms: -11.0
Spin magnetization in μB per formula unit: 0.00
ρ in g/cm³: 7.5

=====

# 4
The following is a PBE calculation of a geometry-optimized MgNpInIr structure, from Alexandria via LeMat-Bulk.

extended XYZ file:
```
4
Lattice="-0.070 1.706 -4.535 -3.729 -1.029 -2.918 -3.143 3.476 -1.232" Properties=species:S:1:pos:R:3 pbc="T T T"
In -5.207 3.115 -6.514
Mg -3.471 2.077 -4.343
Np -1.736 1.038 -2.171
Ir 0.000 0.000 0.000
```

Values from the calculation:
Uncorrected energy in eV/cell: -26.222
Spin magnetization in μB per formula unit: 3.83
Energy of formation in eV/atom: -0.022
ρ in g/cm³: 11.7

=====

# 5
The following is a PBE calculation of a geometry-optimized SrY3Ti structure, from Alexandria via LeMat-Bulk.

extended XYZ file:
```
5
Lattice="-2.251 3.841 3.423 -0.579 -3.901 3.998 5.112 1.249 1.960" Properties=species:S:1:pos:R:3 pbc="T T T"
Y 2.556 0.625 0.980
Y -1.125 1.921 1.711
Y -0.289 -1.951 1.999
Sr 1.141 0.595 4.690
Ti 0.000 0.000 0.000
```

Values from the calculation:
Uncorrected energy in eV/cell: -27.084
Spin magnetization in μB per formula unit: 1.12
Energy above the most stable polymorph in this dataset in eV per formula unit: 0.00
Energy of formation in eV/atom: 0.377
ρ in g/cm³: 3.8

=====

# 6
The following is a PBE calculation of a geometry-optimized In4Ga12Sn structure, from Alexandria via LeMat-Bulk.

extended XYZ file:
```
17
Lattice="7.677 0.000 -2.714 -3.838 6.648 -2.714 0.000 0.000 8.142" Properties=species:S:1:pos:R:3 pbc="T T T"
Ga 2.993 3.341 3.910
Ga 5.235 2.386 -1.518
Ga -1.397 4.262 4.232
Ga 3.287 0.921 1.196
Ga 5.454 0.921 2.728
Ga 4.152 4.262 0.014
Ga 1.929 5.184 -2.728
Ga 0.846 3.307 -1.196
Ga 1.910 1.465 5.442
Ga 0.551 5.727 1.518
Ga -1.615 5.727 -0.014
Ga -0.314 2.386 2.701
Sn 0.000 0.000 0.000
In 0.000 0.000 4.071
In 3.838 0.000 -1.357
In 1.919 3.324 1.357
In -1.919 3.324 -1.357
```

Values from the calculation:
Uncorrected energy in eV/cell: -47.744
Spin magnetization in μB per formula unit: 0.00
Energy of formation in eV/atom: 0.208
ρ in g/cm³: 5.7

=====

# 7
The following is a PBE calculation of a geometry-optimized Ho3Al4Hg2 structure, from Alexandria via LeMat-Bulk.

extended XYZ file:
```
9
Lattice="4.608 0.000 0.000 -2.304 5.049 -1.846 0.000 -0.697 8.712" Properties=species:S:1:pos:R:3 pbc="T T T"
Al 0.000 2.005 7.168
Al 2.304 4.192 3.717
Al 0.000 0.160 3.149
Al 2.304 2.347 -0.302
Ho 0.000 3.137 1.664
Ho 2.304 1.215 5.202
Ho 0.000 0.000 0.000
Hg 0.000 3.402 4.855
Hg 2.304 0.950 2.011
```

Values from the calculation:
Uncorrected energy in eV/cell: -33.414
Spin magnetization in μB per formula unit: 0.00
Energy of formation in eV/atom: -0.456
ρ in g/cm³: 8.5

=====

# 8
The following is a PBE calculation of a geometry-optimized LiNb2Tc structure, from Alexandria via LeMat-Bulk.

extended XYZ file:
```
4
Lattice="0.000 3.179 3.179 3.179 0.000 3.179 3.179 3.179 0.000" Properties=species:S:1:pos:R:3 pbc="T T T"
Tc 3.179 3.179 3.179
Nb 1.589 1.589 1.589
Nb 4.768 4.768 4.768
Li 0.000 0.000 0.000
```

Values from the calculation:
Uncorrected energy in eV/cell: -32.167
Spin magnetization in μB per formula unit: 0.00
Energy above the most stable polymorph in this dataset in eV per formula unit: 0.00
Energy of formation in eV/atom: 0.063
ρ in g/cm³: 7.5

=====

What is the ρ in the second record? 8.2 g/cm³

=====

What is the spin magnetization in the seventh record? 0.00 μB per formula unit